No. 1
Sm4Mg2Tl GGA-PBE relaxed; spin magnetization = 0.00 μB per formula unit; formation enthalpy at 0 K = -33 meV per atom; calculated volume = 441.8 Å³/cell
1.0
7.632 0.000 0.000
0.000 7.632 0.000
0.000 0.000 7.584
Sm Mg Tl
8 4 2
direct
0.250 0.250 0.250 Sm
0.250 0.250 0.750 Sm
0.250 0.750 0.250 Sm
0.250 0.750 0.750 Sm
0.750 0.250 0.250 Sm
0.750 0.250 0.750 Sm
0.750 0.750 0.250 Sm
0.750 0.750 0.750 Sm
0.000 0.500 0.000 Mg
0.000 0.500 0.500 Mg
0.500 0.000 0.000 Mg
0.500 0.000 0.500 Mg
0.000 0.000 0.000 Tl
0.500 0.500 0.500 Tl

=====

No. 2
GaReRu GGA-PBE relaxed; spin magnetization = 0.00 μB per formula unit; formation enthalpy at 0 K = -116 meV per atom; calculated volume = 86.4 Å³/cell
1.0
2.855 0.000 0.000
0.000 2.855 0.000
0.000 0.000 10.606
Ga Re Ru
2 2 2
direct
0.000 0.000 0.000 Ga
0.500 0.500 0.500 Ga
0.000 0.000 0.325 Re
0.500 0.500 0.825 Re
0.000 0.000 0.665 Ru
0.500 0.500 0.165 Ru

=====

No. 3
YZrPa2 GGA-PBE relaxed; spin magnetization = 0.00 μB per formula unit; formation enthalpy at 0 K = 207 meV per atom; calculated volume = 103.9 Å³/cell; energy above the lowest structure with this stoichiometry = 0 meV per atom
1.0
3.169 0.000 0.000
0.000 3.169 0.000
0.000 0.000 10.347
Y Zr Pa
1 1 2
direct
0.000 0.000 0.000 Y
0.000 0.000 0.500 Zr
0.500 0.500 0.263 Pa
0.500 0.500 0.737 Pa

=====

No. 4
PrTcI GGA-PBE relaxed; spin magnetization = 0.00 μB per formula unit; ΔE_f (raw) = -0.681 eV/atom; calculated volume = 391.6 Å³/cell
1.0
7.237 0.000 0.000
0.000 4.178 0.000
-2.472 0.000 12.953
Pr Tc I
4 4 4
direct
0.059 0.000 0.173 Pr
0.441 0.500 0.827 Pr
0.559 0.500 0.173 Pr
0.941 0.000 0.827 Pr
0.161 0.500 0.985 Tc
0.339 0.000 0.015 Tc
0.661 0.000 0.985 Tc
0.839 0.500 0.015 Tc
0.216 0.000 0.656 I
0.284 0.500 0.344 I
0.716 0.500 0.656 I
0.784 0.000 0.344 I